(1)
DFT (PBE) results for a relaxed K2SmCl6 crystal.

The calculated volume comes out at 27.6 Å³ per atom. Its total magnetization is 2.24 μB/cell. The value obtained for the density of states at the Fermi level is 0.947 states/eV/atom. The total energy comes out at -3.806 eV/atom.

abc: 4.360 14.066 8.109
angles: 90.00 90.00 90.00
Space group Amm2 (No. 38)
Unique sites:
K 0.000 0.167 0.000 [4 per cell]
Sm 0.500 0.000 0.501 [2 per cell]
Cl 0.000 0.000 0.737 [2 per cell]
Cl 0.000 0.118 0.382 [4 per cell]
Cl 0.500 0.000 0.148 [2 per cell]
Cl 0.500 0.176 0.677 [4 per cell]

=====

(2)
DFT (PBE) results for a relaxed KSmSn2Cl8 crystal.

The calculated volume comes out at 33.5 Å³ per atom. Its total magnetization is 0.00 μB/cell. The value obtained for the density of states at the Fermi level is 0.000 states/eV/atom. The total energy comes out at -3.969 eV/atom.

abc: 6.507 6.896 8.970
angles: 87.82 88.76 88.36
Space group P-1 (No. 2)
Unique sites:
K 0.000 0.000 0.000 [1 per cell]
Sm 0.000 0.000 0.500 [1 per cell]
Sn 0.496 0.487 0.248 [2 per cell]
Cl 0.214 0.816 0.282 [2 per cell]
Cl 0.247 0.316 0.464 [2 per cell]
Cl 0.251 0.860 0.720 [2 per cell]
Cl 0.283 0.358 0.036 [2 per cell]

=====

(3)
DFT (PBE) results for a relaxed KSmSnCl6 crystal.

The calculated volume comes out at 33.8 Å³ per atom. Its total magnetization is 0.00 μB/cell. The value obtained for the density of states at the Fermi level is 0.000 states/eV/atom. The total energy comes out at -4.108 eV/atom.

abc: 6.810 6.810 13.124
angles: 90.00 90.00 90.00
Space group P4_2nm (No. 102)
Unique sites:
K 0.000 0.000 0.000 [2 per cell]
Sm 0.000 0.000 0.334 [2 per cell]
Sn 0.000 0.000 0.668 [2 per cell]
Cl 0.179 0.179 0.496 [4 per cell]
Cl 0.201 0.201 0.189 [4 per cell]
Cl 0.218 0.218 0.822 [4 per cell]

=====

Question: The lowest calculated volume belongs to which entry?
Answer: K2SmCl6